Record 1
Entry from Alexandria: a relaxed structure of TcGe2Au (PBE-GGA).

The structure belongs to space group Fm-3m (No. 225); the cell edges are 6.409, 6.409 and 6.409 Å and the angles 90.00°, 90.00° and 90.00°. The inequivalent atoms are Tc at (0.000, 0.000, 0.000), Ge at (0.250, 0.250, 0.250) and Au at (0.000, 0.000, 0.500).

The crystal system is cubic. The calculation puts the calculated total energy at -5.3633 eV/atom. Its formation energy is 356 meV/atom.

***

Record 2
Entry from Alexandria: a relaxed structure of LiBAsBr2 (PBE-GGA).

The structure belongs to space group P4/mmm (No. 123); the cell edges are 4.930, 4.930 and 4.776 Å and the angles 90.00°, 90.00° and 90.00°. The inequivalent atoms are Li at (0.000, 0.000, 0.000), B at (0.500, 0.500, 0.500), As at (0.000, 0.000, 0.500) and Br at (0.000, 0.500, 0.000).

The crystal system is tetragonal. The calculation puts the calculated total energy at -2.3788 eV/atom. The uncorrected formation energy is 0.94 eV/atom.

***

Record 3
Entry from Alexandria: a relaxed structure of TbZrGa2 (PBE-GGA).

The structure belongs to space group P4/mmm (No. 123); the cell edges are 4.597, 4.597 and 3.953 Å and the angles 90.00°, 90.00° and 90.00°. The inequivalent atoms are Tb at (0.000, 0.000, 0.000), Zr at (0.500, 0.500, 0.000) and Ga at (0.000, 0.500, 0.500).

The crystal system is tetragonal. The calculation puts the calculated total energy at -5.2648 eV/atom. Its formation energy is -457 meV/atom.

***

Record 4
Entry from Alexandria: a relaxed structure of TiOsSN2 (PBE-GGA).

The structure belongs to space group P4/mmm (No. 123); the cell edges are 3.783, 3.783 and 5.058 Å and the angles 90.00°, 90.00° and 90.00°. The inequivalent atoms are Ti at (0.000, 0.000, 0.000), Os at (0.500, 0.500, 0.500), S at (0.500, 0.500, 0.000) and N at (0.000, 0.500, 0.500).

The crystal system is tetragonal. The calculation puts the calculated total energy at -7.5813 eV/atom. The uncorrected formation energy is 0.40 eV/atom.

***

Per-record energy above the lowest structure with this stoichiometry, meV/atom: 406; 677; 55; 0